No. 1
Entry from the Alexandria database: a geometry-optimized TmBe13 structure (GGA-PBEsol).

a b c (Å): 7.1327 7.1327 7.1327
angles (deg): 60.00 60.00 60.00
Fractional positions:
Be: 0.0000 0.0000 0.0000
Be: 0.5000 0.5000 0.5000
Be: 0.9379 0.7083 0.0621
Be: 0.0621 0.2917 0.9379
Be: 0.7083 0.9379 0.2917
Be: 0.2917 0.0621 0.7083
Be: 0.5621 0.2083 0.4379
Be: 0.4379 0.7917 0.5621
Be: 0.2083 0.5621 0.7917
Be: 0.7917 0.4379 0.2083
Be: 0.9379 0.0621 0.2917
Be: 0.0621 0.9379 0.7083
Be: 0.7083 0.2917 0.0621
Be: 0.2917 0.7083 0.9379
Be: 0.5621 0.4379 0.7917
Be: 0.4379 0.5621 0.2083
Be: 0.2083 0.7917 0.4379
Be: 0.7917 0.2083 0.5621
Be: 0.9379 0.2917 0.7083
Be: 0.0621 0.7083 0.2917
Be: 0.7083 0.0621 0.9379
Be: 0.2917 0.9379 0.0621
Be: 0.5621 0.7917 0.2083
Be: 0.4379 0.2083 0.7917
Be: 0.2083 0.4379 0.5621
Be: 0.7917 0.5621 0.4379
Tm: 0.7500 0.7500 0.7500
Tm: 0.2500 0.2500 0.2500

Values from the calculation:
Crystal system: cubic
D(E_F), states/eV/f.u.: 3.525
Symmetry: Fm-3c (226)
Energy, hartree per atom: -0.156
Spin magnetization, μB per formula unit: 0.0


No. 2
Entry from the Alexandria database: a geometry-optimized TcSb2Te structure (GGA-PBEsol).

a b c (Å): 4.1473 4.1473 5.2289
angles (deg): 90.00 90.00 90.00
Site moments in Bohr magnetons follow the coordinates.
Fractional positions:
Sb: 0.0000 0.5000 0.0000  -0.01
Sb: 0.5000 0.0000 0.0000  -0.01
Tc: 0.5000 0.5000 0.5000  1.19
Te: 0.0000 0.0000 0.5000  0.00

Values from the calculation:
Crystal system: tetragonal
D(E_F), states/eV/f.u.: 4.511
Symmetry: P4/mmm (123)
ΔE_f (raw), eV per atom: 0.74
Energy, hartree per atom: -0.192
Distance to the lowest polymorph of the same formula, meV/atom: 344.5
Spin magnetization, μB per formula unit: 1.3


No. 3
Entry from the Alexandria database: a geometry-optimized CoCuPt2S structure (GGA-PBEsol).

a b c (Å): 3.8881 4.6437 4.6437
angles (deg): 90.00 90.00 90.00
Site moments in Bohr magnetons follow the coordinates.
Fractional positions:
S: 0.5000 0.0000 0.0000  0.02
Co: 0.0000 0.0000 0.0000  1.02
Cu: 0.5000 0.5000 0.5000  0.04
Pt: 0.0000 0.0000 0.5000  0.22
Pt: 0.0000 0.5000 0.0000  0.22

Values from the calculation:
Crystal system: tetragonal
D(E_F), states/eV/f.u.: 5.530
Symmetry: P4/mmm (123)
ΔE_f (raw), eV per atom: 0.89
Energy, hartree per atom: -0.191
Spin magnetization, μB per formula unit: 1.6


No. 4
Entry from the Alexandria database: a geometry-optimized BaRhCl2 structure (GGA-PBEsol).

a b c (Å): 3.8411 4.7945 4.7945
angles (deg): 90.00 90.00 90.00
Site moments in Bohr magnetons follow the coordinates.
Fractional positions:
Rh: 0.5000 0.5000 0.5000  1.02
Ba: 0.5000 0.0000 0.0000  -0.02
Cl: 0.0000 0.0000 0.5000  0.05
Cl: 0.0000 0.5000 0.0000  0.05

Values from the calculation:
Crystal system: tetragonal
D(E_F), states/eV/f.u.: 2.978
Symmetry: P4/mmm (123)
ΔE_f (raw), eV per atom: -0.76
Energy, hartree per atom: -0.159
Distance to the lowest polymorph of the same formula, meV/atom: 30.4
Spin magnetization, μB per formula unit: 1.1


No. 5
Entry from the Alexandria database: a geometry-optimized ZnCl3 structure (GGA-PBEsol).

a b c (Å): 4.6941 4.6941 4.6941
angles (deg): 60.00 60.00 60.00
Site moments in Bohr magnetons follow the coordinates.
Fractional positions:
Zn: 0.0000 0.0000 0.0000  -0.02
Cl: 0.2500 0.2500 0.2500  0.19
Cl: 0.5000 0.5000 0.5000  0.48
Cl: 0.7500 0.7500 0.7500  0.19

Values from the calculation:
Crystal system: cubic
D(E_F), states/eV/f.u.: 3.481
Symmetry: Fm-3m (225)
ΔE_f (raw), eV per atom: 0.08
Energy, hartree per atom: -0.067
Spin magnetization, μB per formula unit: 1.0


No. 6
Entry from the Alexandria database: a geometry-optimized NiRhPb2 structure (GGA-PBEsol).

a b c (Å): 3.3537 3.3537 7.9433
angles (deg): 77.81 77.81 60.00
Fractional positions:
Ni: 0.0000 0.0000 0.0000
Pb: 0.2532 0.2532 0.2405
Pb: 0.7468 0.7468 0.7595
Rh: 0.5000 0.5000 0.5000

Values from the calculation:
Crystal system: trigonal
D(E_F), states/eV/f.u.: 3.212
Symmetry: R-3m (166)
Energy, hartree per atom: -0.195
Distance to the lowest polymorph of the same formula, meV/atom: 204.5
Spin magnetization, μB per formula unit: 0.0


No. 7
Entry from the Alexandria database: a geometry-optimized MgZn4Br structure (GGA-PBEsol).

a b c (Å): 5.3691 5.3691 5.3691
angles (deg): 60.00 60.00 60.00
Fractional positions:
Br: 0.7500 0.7500 0.7500
Mg: 0.0000 0.0000 0.0000
Zn: 0.3728 0.3728 0.3728
Zn: 0.3728 0.3728 0.8814
Zn: 0.8814 0.3728 0.3728
Zn: 0.3728 0.8814 0.3728

Values from the calculation:
Crystal system: cubic
D(E_F), states/eV/f.u.: 2.866
Symmetry: F-43m (216)
ΔE_f (raw), eV per atom: 0.08
Energy, hartree per atom: -0.058
Spin magnetization, μB per formula unit: 0.0


No. 8
Entry from the Alexandria database: a geometry-optimized Al2CoCu structure (GGA-PBEsol).

a b c (Å): 4.0800 4.0800 4.0800
angles (deg): 60.00 60.00 60.00
Fractional positions:
Co: 0.5000 0.5000 0.5000
Al: 0.2500 0.2500 0.2500
Al: 0.7500 0.7500 0.7500
Cu: 0.0000 0.0000 0.0000

Values from the calculation:
Crystal system: cubic
D(E_F), states/eV/f.u.: 2.088
Symmetry: Fm-3m (225)
Energy, hartree per atom: -0.200
Spin magnetization, μB per formula unit: 0.0


No. 9
Entry from the Alexandria database: a geometry-optimized Mn2TlAs structure (GGA-PBEsol).

a b c (Å): 3.6482 3.9499 4.6183
angles (deg): 90.00 90.00 90.00
Site moments in Bohr magnetons follow the coordinates.
Fractional positions:
As: 0.5000 0.0000 0.5000  -0.06
Mn: 0.0000 0.0000 0.0000  3.19
Mn: 0.0000 0.5000 0.5000  3.41
Tl: 0.5000 0.5000 0.0000  -0.08

Values from the calculation:
Crystal system: orthorhombic
D(E_F), states/eV/f.u.: 3.001
Symmetry: Pmmm (47)
Energy, hartree per atom: -0.234
Distance to the lowest polymorph of the same formula, meV/atom: 164.0
Spin magnetization, μB per formula unit: 6.7


No. 10
Entry from the Alexandria database: a geometry-optimized MgCu2Au structure (GGA-PBEsol).

a b c (Å): 3.8452 3.8452 4.6756
angles (deg): 114.28 114.28 90.00
Fractional positions:
Mg: 0.0000 0.0000 0.0000
Au: 0.5000 0.5000 0.0000
Cu: 0.7500 0.2500 0.5000
Cu: 0.2500 0.7500 0.5000

Values from the calculation:
Crystal system: tetragonal
D(E_F), states/eV/f.u.: 1.297
Symmetry: I4/mmm (139)
Energy, hartree per atom: -0.139
Spin magnetization, μB per formula unit: 0.0


No. 11
Entry from the Alexandria database: a geometry-optimized Cs3TaAs structure (GGA-PBEsol).

a b c (Å): 6.7631 6.7631 6.7631
angles (deg): 90.00 90.00 90.00
Site moments in Bohr magnetons follow the coordinates.
Fractional positions:
Cs: 0.0000 0.5000 0.0000  -0.02
Cs: 0.0000 0.0000 0.5000  -0.02
Cs: 0.5000 0.0000 0.0000  -0.02
As: 0.0000 0.0000 0.0000  -0.42
Ta: 0.5000 0.5000 0.5000  2.38

Values from the calculation:
Crystal system: cubic
D(E_F), states/eV/f.u.: 16.805
Symmetry: Pm-3m (221)
Energy, hartree per atom: -0.101
Spin magnetization, μB per formula unit: 3.0


No. 12
Entry from the Alexandria database: a geometry-optimized TiAuSN2 structure (GGA-PBEsol).

a b c (Å): 3.9255 3.9255 4.8164
angles (deg): 90.00 90.00 90.00
Site moments in Bohr magnetons follow the coordinates.
Fractional positions:
S: 0.0000 0.0000 0.5000  0.09
N: 0.0000 0.5000 0.0000  0.59
N: 0.5000 0.0000 0.0000  0.59
Au: 0.0000 0.0000 0.0000  0.17
Ti: 0.5000 0.5000 0.5000  -1.25

Values from the calculation:
Crystal system: tetragonal
D(E_F), states/eV/f.u.: 4.152
Symmetry: P4/mmm (123)
ΔE_f (raw), eV per atom: 1.29
Energy, hartree per atom: -0.200
Spin magnetization, μB per formula unit: 0.4


No. 13
Entry from the Alexandria database: a geometry-optimized GaSiMo2Os structure (GGA-PBEsol).

a b c (Å): 4.3248 4.3999 4.3999
angles (deg): 90.00 90.00 90.00
Fractional positions:
Mo: 0.0000 0.0000 0.5000
Mo: 0.0000 0.5000 0.0000
Os: 0.5000 0.5000 0.5000
Si: 0.0000 0.0000 0.0000
Ga: 0.5000 0.0000 0.0000

Values from the calculation:
Crystal system: tetragonal
D(E_F), states/eV/f.u.: 7.867
Symmetry: P4/mmm (123)
ΔE_f (raw), eV per atom: 1.46
Energy, hartree per atom: -0.276
Spin magnetization, μB per formula unit: 0.0